Here is a relaxed structure of LiCaO3 from the Alexandria database. Energies are from GGA-PBE.

It has space group Pm-3m (No. 221), with a = 4.3572 Å, b = 4.3572 Å, c = 4.3572 Å, α = 90.00°, β = 90.00° and γ = 90.00°. Symmetry generates all atoms from Li at (0.0000, 0.0000, 0.0000), Ca at (0.5000, 0.5000, 0.5000) and O at (0.0000, 0.5000, 0.5000).

The calculation puts the density of states at the Fermi level at 0.4963 states/eV/atom. The calculation puts the total energy at -22.60 eV/cell. As for the crystal system: cubic. Its formation energy (no corrections) is -3.81 eV per formula unit. The calculation puts the magnetization at 3.0 μB/f.u.

=====

Here is a relaxed structure of H2PtPbF8 from the Alexandria database. Energies are from GGA-PBE.

It has space group P-1 (No. 2), with a = 5.1806 Å, b = 5.1963 Å, c = 7.1987 Å, α = 82.95°, β = 82.57° and γ = 65.79°. Symmetry generates all atoms from H at (0.2284, 0.2354, 0.2674), Pt at (0.5000, 0.5000, 0.0000), Pb at (0.5000, 0.5000, 0.5000), F at (0.2116, 0.2202, 0.4116), F at (0.2570, 0.7250, 0.7986), F at (0.2688, 0.2765, 0.0761) and F at (0.2799, 0.7461, 0.2030).

The calculation puts the density of states at the Fermi level at 0.0000 states/eV/atom. The calculation puts the total energy at -51.61 eV/cell. As for the crystal system: triclinic. The calculation puts the magnetization at 0.0 μB/f.u.

=====

Which value of magnetization does entry 1 give?
3.0 μB/f.u.

=====

What is the magnetization in the first record?
3.0 μB/f.u.